Material: BeAl2Cu
Method: DFT, GGA-PBE
State: optimized geometry

## Properties
Fermi-level density of states (states/eV per cell): 1.49
Calculated formation energy (eV/atom): 0.06
Electronic total energy (eV per atom): -3.766

CIF file:
```
data_BeAl2Cu
_chemical_formula_sum 'Be1 Al2 Cu1'
_symmetry_space_group_name_H-M 'P 1'
_symmetry_Int_Tables_number 1
_cell_length_a 4.532
_cell_length_b 4.532
_cell_length_c 4.524
_cell_angle_alpha 130.29
_cell_angle_beta 130.28
_cell_angle_gamma 73.09
loop_
_symmetry_equiv_pos_as_xyz
'x,y,z'
loop_
_atom_site_label
_atom_site_type_symbol
_atom_site_fract_x
_atom_site_fract_y
_atom_site_fract_z
_atom_site_occupancy
Al1 Al 0.000 0.000 0.000 1
Cu1 Cu 0.750 0.250 0.500 1
Al2 Al 0.500 0.500 0.000 1
Be1 Be 0.250 0.750 0.500 1
```

=====

Material: AlC2
Method: DFT, GGA-PBE
State: optimized geometry

## Properties
Fermi-level density of states (states/eV per cell): 0.87
Calculated formation energy (eV/atom): 0.78
Electronic total energy (eV per atom): -6.616
Energy above the lowest structure with this stoichiometry (eV/atom): 0.494

CIF file:
```
data_AlC2
_chemical_formula_sum 'Al2 C4'
_symmetry_space_group_name_H-M 'P 1'
_symmetry_Int_Tables_number 1
_cell_length_a 5.902
_cell_length_b 5.902
_cell_length_c 5.902
_cell_angle_alpha 153.97
_cell_angle_beta 99.21
_cell_angle_gamma 86.64
loop_
_symmetry_equiv_pos_as_xyz
'x,y,z'
loop_
_atom_site_label
_atom_site_type_symbol
_atom_site_fract_x
_atom_site_fract_y
_atom_site_fract_z
_atom_site_occupancy
C1 C 0.297 0.047 0.250 1
Al1 Al 0.864 0.614 0.250 1
C2 C 0.703 0.953 0.750 1
C3 C 0.544 0.794 0.750 1
Al2 Al 0.136 0.386 0.750 1
C4 C 0.456 0.206 0.250 1
```

=====

Material: Er11Tl9Hg4
Method: DFT, GGA-PBE
State: optimized geometry

## Properties
Fermi-level density of states (states/eV per cell): 16.73
Calculated formation energy (eV/atom): -0.33
Electronic total energy (eV per atom): -3.355

CIF file:
```
data_Er11Tl9Hg4
_chemical_formula_sum 'Er11 Tl9 Hg4'
_symmetry_space_group_name_H-M 'P 1'
_symmetry_Int_Tables_number 1
_cell_length_a 3.750
_cell_length_b 13.569
_cell_length_c 13.569
_cell_angle_alpha 113.14
_cell_angle_beta 90.00
_cell_angle_gamma 90.00
loop_
_symmetry_equiv_pos_as_xyz
'x,y,z'
loop_
_atom_site_label
_atom_site_type_symbol
_atom_site_fract_x
_atom_site_fract_y
_atom_site_fract_z
_atom_site_occupancy
Er1 Er 0.000 0.645 0.355 1
Er2 Er 0.000 0.717 0.717 1
Tl1 Tl 0.500 0.209 0.055 1
Tl2 Tl 0.500 0.368 0.858 1
Tl3 Tl 0.500 0.142 0.632 1
Er3 Er 0.000 0.000 0.000 1
Er4 Er 0.000 0.162 0.838 1
Tl4 Tl 0.500 0.500 0.500 1
Tl5 Tl 0.500 0.858 0.368 1
Er5 Er 0.000 0.355 0.645 1
Er6 Er 0.000 0.283 0.283 1
Tl6 Tl 0.500 0.945 0.791 1
Hg1 Hg 0.500 0.255 0.451 1
Hg2 Hg 0.500 0.745 0.549 1
Er7 Er 0.000 0.587 0.932 1
Er8 Er 0.000 0.932 0.587 1
Tl7 Tl 0.500 0.632 0.142 1
Er9 Er 0.000 0.068 0.413 1
Er10 Er 0.000 0.413 0.068 1
Er11 Er 0.000 0.838 0.162 1
Hg3 Hg 0.500 0.451 0.255 1
Hg4 Hg 0.500 0.549 0.745 1
Tl8 Tl 0.500 0.791 0.945 1
Tl9 Tl 0.500 0.055 0.209 1
```

=====

Material: TaCuTe2
Method: DFT, GGA-PBE
State: optimized geometry

## Properties
Fermi-level density of states (states/eV per cell): 4.37
Electronic total energy (eV per atom): -5.038
Formation energy from raw total energies (meV per atom): 520

CIF file:
```
data_TaCuTe2
_chemical_formula_sum 'Ta1 Cu1 Te2'
_symmetry_space_group_name_H-M 'P 1'
_symmetry_Int_Tables_number 1
_cell_length_a 5.807
_cell_length_b 5.807
_cell_length_c 5.807
_cell_angle_alpha 139.10
_cell_angle_beta 139.10
_cell_angle_gamma 59.23
loop_
_symmetry_equiv_pos_as_xyz
'x,y,z'
loop_
_atom_site_label
_atom_site_type_symbol
_atom_site_fract_x
_atom_site_fract_y
_atom_site_fract_z
_atom_site_occupancy
Ta1 Ta 0.750 0.250 0.500 1
Cu1 Cu 0.500 0.500 0.000 1
Te1 Te 0.000 0.000 0.000 1
Te2 Te 0.250 0.750 0.500 1
```

=====

Material: Nd3Sm12Th
Method: DFT, GGA-PBE
State: optimized geometry

## Properties
Fermi-level density of states (states/eV per cell): 22.20
Calculated formation energy (eV/atom): 0.02
Electronic total energy (eV per atom): -4.875

CIF file:
```
data_Nd3Sm12Th
_chemical_formula_sum 'Nd3 Sm12 Th1'
_symmetry_space_group_name_H-M 'P 1'
_symmetry_Int_Tables_number 1
_cell_length_a 5.141
_cell_length_b 5.141
_cell_length_c 20.553
_cell_angle_alpha 90.00
_cell_angle_beta 90.00
_cell_angle_gamma 90.00
loop_
_symmetry_equiv_pos_as_xyz
'x,y,z'
loop_
_atom_site_label
_atom_site_type_symbol
_atom_site_fract_x
_atom_site_fract_y
_atom_site_fract_z
_atom_site_occupancy
Sm1 Sm 0.500 0.000 0.626 1
Sm2 Sm 0.000 0.500 0.122 1
Sm3 Sm 0.500 0.000 0.374 1
Th1 Th 0.000 0.000 0.000 1
Sm4 Sm 0.500 0.500 0.500 1
Sm5 Sm 0.500 0.500 0.750 1
Sm6 Sm 0.000 0.500 0.626 1
Nd1 Nd 0.000 0.000 0.751 1
Sm7 Sm 0.500 0.000 0.122 1
Nd2 Nd 0.000 0.000 0.249 1
Sm8 Sm 0.000 0.500 0.374 1
Sm9 Sm 0.500 0.500 0.250 1
Sm10 Sm 0.000 0.500 0.878 1
Sm11 Sm 0.500 0.000 0.878 1
Sm12 Sm 0.500 0.500 0.000 1
Nd3 Nd 0.000 0.000 0.500 1
```

=====

Material: Si2MoAs
Method: DFT, GGA-PBE
State: optimized geometry

## Properties
Fermi-level density of states (states/eV per cell): 2.15
Electronic total energy (eV per atom): -6.401
Formation energy from raw total energies (meV per atom): 181

CIF file:
```
data_Si2MoAs
_chemical_formula_sum 'Si2 Mo1 As1'
_symmetry_space_group_name_H-M 'P 1'
_symmetry_Int_Tables_number 1
_cell_length_a 4.867
_cell_length_b 4.867
_cell_length_c 4.867
_cell_angle_alpha 140.72
_cell_angle_beta 124.41
_cell_angle_gamma 70.17
loop_
_symmetry_equiv_pos_as_xyz
'x,y,z'
loop_
_atom_site_label
_atom_site_type_symbol
_atom_site_fract_x
_atom_site_fract_y
_atom_site_fract_z
_atom_site_occupancy
Si1 Si 0.512 0.512 0.000 1
Mo1 Mo 0.250 0.750 0.500 1
Si2 Si 0.988 0.988 0.000 1
As1 As 0.750 0.250 0.500 1
```

=====

Material: Ba2SrIrO6
Method: DFT, GGA-PBE
State: optimized geometry

## Properties
Fermi-level density of states (states/eV per cell): 2.99
Electronic total energy (eV per atom): -6.448
Formation energy from raw total energies (meV per atom): -2035

CIF file:
```
data_Ba2SrIrO6
_chemical_formula_sum 'Ba2 Sr1 Ir1 O6'
_symmetry_space_group_name_H-M 'P 1'
_symmetry_Int_Tables_number 1
_cell_length_a 6.130
_cell_length_b 6.130
_cell_length_c 6.130
_cell_angle_alpha 60.00
_cell_angle_beta 60.00
_cell_angle_gamma 60.00
loop_
_symmetry_equiv_pos_as_xyz
'x,y,z'
loop_
_atom_site_label
_atom_site_type_symbol
_atom_site_fract_x
_atom_site_fract_y
_atom_site_fract_z
_atom_site_occupancy
O1 O 0.725 0.275 0.725 1
Ba1 Ba 0.250 0.250 0.250 1
O2 O 0.275 0.275 0.725 1
O3 O 0.725 0.725 0.275 1
Ir1 Ir 0.500 0.500 0.500 1
Ba2 Ba 0.750 0.750 0.750 1
O4 O 0.725 0.275 0.275 1
Sr1 Sr 0.000 0.000 0.000 1
O5 O 0.275 0.725 0.275 1
O6 O 0.275 0.725 0.725 1
```

=====

Material: Pa4Zn5Co2
Method: DFT, GGA-PBE
State: optimized geometry

## Properties
Fermi-level density of states (states/eV per cell): 11.55
Calculated formation energy (eV/atom): -0.14
Electronic total energy (eV per atom): -5.464

CIF file:
```
data_Pa4Zn5Co2
_chemical_formula_sum 'Pa4 Zn5 Co2'
_symmetry_space_group_name_H-M 'P 1'
_symmetry_Int_Tables_number 1
_cell_length_a 3.177
_cell_length_b 7.114
_cell_length_c 9.222
_cell_angle_alpha 91.91
_cell_angle_beta 90.00
_cell_angle_gamma 90.00
loop_
_symmetry_equiv_pos_as_xyz
'x,y,z'
loop_
_atom_site_label
_atom_site_type_symbol
_atom_site_fract_x
_atom_site_fract_y
_atom_site_fract_z
_atom_site_occupancy
Pa1 Pa 0.500 0.251 0.458 1
Pa2 Pa 0.500 0.749 0.542 1
Zn1 Zn 0.000 0.500 0.000 1
Zn2 Zn 0.000 0.769 0.830 1
Zn3 Zn 0.000 0.431 0.713 1
Pa3 Pa 0.500 0.878 0.121 1
Zn4 Zn 0.000 0.231 0.170 1
Zn5 Zn 0.000 0.569 0.287 1
Co1 Co 0.000 0.943 0.357 1
Co2 Co 0.000 0.057 0.643 1
Pa4 Pa 0.500 0.122 0.879 1
```